#one
BeAsPdBrCl | PBE | optimized geometry

```
data_BeAsPdBrCl
_symmetry_space_group_name_H-M 'P 1'
_symmetry_Int_Tables_number 1
_cell_length_a 4.020
_cell_length_b 5.460
_cell_length_c 5.490
_cell_angle_alpha 116.14
_cell_angle_beta 107.65
_cell_angle_gamma 94.54
loop_
_symmetry_equiv_pos_as_xyz
'x,y,z'
loop_
_atom_site_label
_atom_site_fract_x
_atom_site_fract_y
_atom_site_fract_z
Be1 0.000 0.000 0.000
As1 0.426 0.040 0.795
Pd1 0.521 0.522 0.789
Br1 0.194 0.724 0.183
Cl1 0.940 0.298 0.367
```

## Properties
crystal system: triclinic
spin magnetization: 0.00 μB/atom
volume: 100 Å³ per cell

---

#two
BeAsPdBrCl | PBE | optimized geometry

```
data_BeAsPdBrCl
_symmetry_space_group_name_H-M 'C 1 m 1'
_symmetry_Int_Tables_number 8
_cell_length_a 12.485
_cell_length_b 3.531
_cell_length_c 6.684
_cell_angle_alpha 90.00
_cell_angle_beta 121.42
_cell_angle_gamma 90.00
loop_
_symmetry_equiv_pos_as_xyz
'x,y,z'
'x,-y,z'
'x+1/2,y+1/2,z'
'x+1/2,-y+1/2,z'
loop_
_atom_site_label
_atom_site_fract_x
_atom_site_fract_y
_atom_site_fract_z
Be1 0.000 0.000 0.000
As1 0.208 0.500 0.390
Pd1 0.208 0.000 0.152
Br1 0.418 0.000 0.094
Cl1 0.456 0.500 0.673
```

## Properties
crystal system: monoclinic
spin magnetization: 0.00 μB/atom
volume: 252 Å³ per cell

---

Least stable = #one

---

#one
BeAsPdBrCl | PBE | optimized geometry

```
data_BeAsPdBrCl
_symmetry_space_group_name_H-M 'P 1'
_symmetry_Int_Tables_number 1
_cell_length_a 3.373
_cell_length_b 6.830
_cell_length_c 6.833
_cell_angle_alpha 71.49
_cell_angle_beta 77.83
_cell_angle_gamma 89.99
loop_
_symmetry_equiv_pos_as_xyz
'x,y,z'
loop_
_atom_site_label
_atom_site_fract_x
_atom_site_fract_y
_atom_site_fract_z
Be1 0.000 0.000 0.000
As1 0.961 0.297 0.090
Pd1 0.426 0.497 0.170
Br1 0.591 0.014 0.787
Cl1 0.887 0.750 0.262
```

## Properties
crystal system: triclinic
spin magnetization: 0.00 μB/atom
volume: 146 Å³ per cell

---

#two
BeAsPdBrCl | PBE | optimized geometry

```
data_BeAsPdBrCl
_symmetry_space_group_name_H-M 'P 1'
_symmetry_Int_Tables_number 1
_cell_length_a 3.316
_cell_length_b 6.002
_cell_length_c 7.388
_cell_angle_alpha 106.46
_cell_angle_beta 102.37
_cell_angle_gamma 105.98
loop_
_symmetry_equiv_pos_as_xyz
'x,y,z'
loop_
_atom_site_label
_atom_site_fract_x
_atom_site_fract_y
_atom_site_fract_z
Be1 0.000 0.000 0.000
As1 0.198 0.757 0.624
Pd1 0.680 0.580 0.770
Br1 0.168 0.370 0.965
Cl1 0.597 0.023 0.178
```

## Properties
crystal system: triclinic
spin magnetization: 0.00 μB/atom
volume: 129 Å³ per cell

---

Least stable = #two